Compound: CoP2IrCl
Source: Alexandria
Functional: GGA-PBE
Structure: relaxed

a = 4.5210 Å, b = 4.5210 Å, c = 5.1607 Å
α = 90.00°, β = 90.00°, γ = 90.00°
Sites, in units of the cell vectors:
Co 0.0000 0.0000 0.0000
P 0.0000 0.5000 0.5000
P 0.5000 0.0000 0.5000
Ir 0.5000 0.5000 0.5000
Cl 0.5000 0.5000 0.0000

offset from the most stable computed form = 35 meV/atom
E_form (uncorrected) = 88.8 kJ/mol of atoms


Compound: Al2FeRh
Source: Alexandria
Functional: GGA-PBE
Structure: relaxed

a = 2.8259 Å, b = 3.6474 Å, c = 5.2902 Å
α = 90.00°, β = 90.00°, γ = 90.00°
Sites, in units of the cell vectors:
Al 0.0000 0.0000 0.0000
Al 0.5000 0.5000 0.2943
Fe 0.0000 0.0000 0.5023
Rh 0.5000 0.5000 0.7908

ΔH_f (0 K) = -440 meV per atom


Compound: GeB
Source: Alexandria
Functional: GGA-PBE
Structure: relaxed

a = 2.9646 Å, b = 2.9705 Å, c = 7.1687 Å
α = 89.78°, β = 89.94°, γ = 60.98°
Sites, in units of the cell vectors:
Ge 0.0000 0.0000 0.0000
Ge 0.0002 0.0049 0.4024
B 0.0140 0.0304 0.7012
B 0.3514 0.3684 0.7012

ΔH_f (0 K) = 434 meV per atom
offset from the most stable computed form = 56 meV/atom


Compound: BaZn3Pt
Source: Alexandria
Functional: GGA-PBE
Structure: relaxed

a = 8.4190 Å, b = 8.4190 Å, c = 8.1624 Å
α = 90.00°, β = 90.00°, γ = 120.00°
Sites, in units of the cell vectors:
Ba 0.0000 0.0000 0.0000
Ba 0.3333 0.6667 0.6667
Ba 0.6667 0.3333 0.3333
Zn 0.2223 0.1111 0.4075
Zn 0.2222 0.4444 0.0742
Zn 0.2222 0.7778 0.0742
Zn 0.5555 0.1111 0.7409
Zn 0.5555 0.4445 0.7409
Zn 0.5556 0.7778 0.0742
Zn 0.8889 0.1111 0.4075
Zn 0.8889 0.4445 0.7409
Zn 0.8889 0.7777 0.4075
Pt 0.0000 0.0000 0.6342
Pt 0.3333 0.6667 0.3009
Pt 0.6667 0.3333 0.9675

ΔH_f (0 K) = 186 meV per atom
offset from the most stable computed form = 645 meV/atom


Compound: Dy8Y5Mg
Source: Alexandria
Functional: GGA-PBE
Structure: relaxed

a = 8.4182 Å, b = 8.4182 Å, c = 8.4182 Å
α = 110.36°, β = 110.36°, γ = 107.71°
Sites, in units of the cell vectors:
Dy 0.1794 0.4052 0.5902
Dy 0.3308 0.2272 0.2386
Dy 0.4108 0.8206 0.2258
Dy 0.5948 0.1849 0.7742
Dy 0.7728 0.0114 0.1036
Dy 0.8151 0.5892 0.4098
Dy 0.9078 0.6692 0.8964
Dy 0.9886 0.0922 0.7614
Y 0.0633 0.4624 0.1881
Y 0.1248 0.9367 0.3990
Y 0.2743 0.8752 0.8119
Y 0.5376 0.7257 0.6010
Y 0.7500 0.2500 0.5000
Mg 0.5000 0.5000 0.0000

ΔH_f (0 K) = 245 meV per atom


Compound: La2PmNdY2
Source: Alexandria
Functional: GGA-PBE
Structure: relaxed

a = 6.8103 Å, b = 17.9537 Å, c = 3.4381 Å
α = 90.00°, β = 90.00°, γ = 90.00°
Sites, in units of the cell vectors:
La 0.2387 0.1535 0.0000
La 0.2613 0.6535 0.5000
La 0.7387 0.3465 0.5000
La 0.7613 0.8465 0.0000
Pm 0.0000 0.5000 0.5000
Pm 0.5000 0.0000 0.0000
Nd 0.0000 0.0000 0.5000
Nd 0.5000 0.5000 0.0000
Y 0.2455 0.3257 0.5000
Y 0.2545 0.8257 0.0000
Y 0.7455 0.1743 0.0000
Y 0.7545 0.6743 0.5000

ΔH_f (0 K) = 242 meV per atom


Compound: DyAl4Zn
Source: Alexandria
Functional: GGA-PBE
Structure: relaxed

a = 5.4724 Å, b = 5.4724 Å, c = 5.4724 Å
α = 60.00°, β = 60.00°, γ = 60.00°
Sites, in units of the cell vectors:
Dy 0.0000 0.0000 0.0000
Al 0.1239 0.6254 0.6254
Al 0.6254 0.1239 0.6254
Al 0.6254 0.6254 0.1239
Al 0.6254 0.6254 0.6254
Zn 0.2500 0.2500 0.2500

ΔH_f (0 K) = -134 meV per atom


Compound: SrLi4Pt2
Source: Alexandria
Functional: GGA-PBE
Structure: relaxed

a = 7.8329 Å, b = 7.8329 Å, c = 4.2380 Å
α = 90.00°, β = 90.00°, γ = 90.00°
Sites, in units of the cell vectors:
Sr 0.0000 0.0000 0.0000
Sr 0.5000 0.5000 0.5000
Li 0.0956 0.3468 0.5000
Li 0.1532 0.5956 0.0000
Li 0.3468 0.0956 0.5000
Li 0.4044 0.8468 0.0000
Li 0.5956 0.1532 0.0000
Li 0.6532 0.9044 0.5000
Li 0.8468 0.4044 0.0000
Li 0.9044 0.6532 0.5000
Pt 0.2165 0.7835 0.5000
Pt 0.2835 0.2835 0.0000
Pt 0.7165 0.7165 0.0000
Pt 0.7835 0.2165 0.5000

ΔH_f (0 K) = -494 meV per atom


Sequential density of states at the Fermi level output: 3.492; 2.122; 1.795; 0.000; 19.598; 21.621; 3.649; 4.764 states/eV per cell
Sequential electronic total energy output: -4.806; -6.265; -5.213; -2.171; -4.808; -5.141; -3.608; -3.554 eV/atom